Record 1
# PBE FeSb3, relaxed
data_FeSb3
_cell_length_a 3.163
_cell_length_b 3.163
_cell_length_c 9.066
_cell_angle_alpha 90.00
_cell_angle_beta 90.00
_cell_angle_gamma 90.00
_symmetry_space_group_name_H-M 'P 4/m m m'
_symmetry_Int_Tables_number 123
_symmetry_space_group_name_Hall '-P 4 2'
loop_
_atom_site_label
_atom_site_fract_x
_atom_site_fract_y
_atom_site_fract_z
Fe1 0.000 0.000 0.000
Sb1 0.000 0.000 0.500
Sb2 0.500 0.500 0.176
# Spin magnetization   0.246 μB per atom
# E above lowest polymorph   230 meV per atom
# DFT total energy   -20.01 eV per cell
# E_form (uncorrected)   0.204 eV/atom
# Theoretical density   7.71 g cm⁻³

Record 2
# PBE Pr3GePd, relaxed
data_Pr3GePd
_cell_length_a 15.472
_cell_length_b 4.319
_cell_length_c 8.463
_cell_angle_alpha 90.00
_cell_angle_beta 90.53
_cell_angle_gamma 90.00
_symmetry_space_group_name_H-M 'C 1 2/m 1'
_symmetry_Int_Tables_number 12
_symmetry_space_group_name_Hall '-C 2y'
loop_
_atom_site_label
_atom_site_fract_x
_atom_site_fract_y
_atom_site_fract_z
Pr1 0.043 0.000 0.176
Pr2 0.102 0.500 0.562
Pr3 0.244 0.000 0.810
Ge1 0.111 0.500 0.933
Pd1 0.203 0.000 0.423
# Spin magnetization   0.000 μB per atom
# DFT total energy   -108.31 eV per cell
# Theoretical density   7.07 g cm⁻³

Record 3
# PBE Np2IrOs, relaxed
data_Np2IrOs
_cell_length_a 2.8410
_cell_length_b 2.8410
_cell_length_c 30.8986
_cell_angle_alpha 90.00
_cell_angle_beta 90.00
_cell_angle_gamma 120.00
_symmetry_space_group_name_H-M 'R -3 m'
_symmetry_Int_Tables_number 166
_symmetry_space_group_name_Hall '-R 3 2"'
loop_
_atom_site_label
_atom_site_fract_x
_atom_site_fract_y
_atom_site_fract_z
Np1 0.0000 0.0000 0.0865
Ir1 0.0000 0.0000 0.0000
Os1 0.0000 0.0000 0.5000
# Spin magnetization   1.427 μB per atom
# E above lowest polymorph   373 meV per atom
# DFT total energy   -133.85 eV per cell
# Theoretical density   19.75 g cm⁻³

Record 4
# PBE Cd2In2HgBr6, relaxed
data_Cd2In2HgBr6
_cell_length_a 7.559
_cell_length_b 7.585
_cell_length_c 8.031
_cell_angle_alpha 85.50
_cell_angle_beta 81.24
_cell_angle_gamma 71.28
_symmetry_space_group_name_H-M 'P -1'
_symmetry_Int_Tables_number 2
_symmetry_space_group_name_Hall '-P 1'
loop_
_atom_site_label
_atom_site_fract_x
_atom_site_fract_y
_atom_site_fract_z
Cd1 0.044 0.247 0.404
In1 0.493 0.191 0.750
Hg1 0.500 0.500 0.000
Br1 0.198 0.152 0.096
Br2 0.227 0.971 0.607
Br3 0.254 0.489 0.456
# Spin magnetization   0.000 μB per atom
# DFT total energy   -25.09 eV per cell
# E_form (uncorrected)   -0.677 eV/atom
# Theoretical density   4.37 g cm⁻³

Record 5
# PBE NdY15Er4, relaxed
data_NdY15Er4
_cell_length_a 5.039
_cell_length_b 5.039
_cell_length_c 25.209
_cell_angle_alpha 90.00
_cell_angle_beta 90.00
_cell_angle_gamma 90.00
_symmetry_space_group_name_H-M 'P 4/m m m'
_symmetry_Int_Tables_number 123
_symmetry_space_group_name_Hall '-P 4 2'
loop_
_atom_site_label
_atom_site_fract_x
_atom_site_fract_y
_atom_site_fract_z
Nd1 0.000 0.000 0.000
Y1 0.000 0.500 0.102
Y2 0.000 0.500 0.301
Y3 0.000 0.500 0.500
Y4 0.500 0.500 0.000
Y5 0.500 0.500 0.202
Y6 0.500 0.500 0.400
Er1 0.000 0.000 0.201
Er2 0.000 0.000 0.400
# Spin magnetization   0.000 μB per atom
# DFT total energy   -119.48 eV per cell
# Theoretical density   5.57 g cm⁻³

Record 6
# PBE NaCdCoH2, relaxed
data_NaCdCoH2
_cell_length_a 3.860
_cell_length_b 3.860
_cell_length_c 5.315
_cell_angle_alpha 90.00
_cell_angle_beta 90.00
_cell_angle_gamma 90.00
_symmetry_space_group_name_H-M 'P 4/m m m'
_symmetry_Int_Tables_number 123
_symmetry_space_group_name_Hall '-P 4 2'
loop_
_atom_site_label
_atom_site_fract_x
_atom_site_fract_y
_atom_site_fract_z
Na1 0.000 0.000 0.000
Cd1 0.500 0.500 0.500
Co1 0.000 0.000 0.500
H1 0.000 0.500 0.000
# Spin magnetization   0.456 μB per atom
# DFT total energy   -11.04 eV per cell
# Theoretical density   4.12 g cm⁻³